(1)
ScTaI2 after structural relaxation. Source: the Alexandria database, functional PBE.

```
ScTaI2
1.0
4.931 0.000 0.000
0.000 4.931 0.000
2.465 2.465 9.131
I Sc Ta
4 2 2
direct
0.634 0.125 0.250
0.875 0.884 0.750
0.375 0.366 0.750
0.116 0.625 0.250
0.500 0.500 0.000
0.250 0.750 0.500
0.000 0.000 0.000
0.750 0.250 0.500
```

## Properties
**Fermi-level density of states**: 0.81 states/eV per atom
**ΔE_f (raw)**: 0.482 eV per atom
**Energy relative to the lowest polymorph listed for this composition**: 0.093 eV/atom

***

(2)
SnBRuRh after structural relaxation. Source: the Alexandria database, functional PBE.

```
SnBRuRh
1.0
3.040 0.000 0.000
0.000 3.040 0.000
0.000 0.000 6.378
B Sn Ru Rh
1 1 1 1
direct
0.500 0.500 0.692
0.000 0.000 0.299
0.000 0.000 0.717
0.500 0.500 0.041
```

## Properties
**Fermi-level density of states**: 0.59 states/eV per atom
**Energy relative to the lowest polymorph listed for this composition**: 0.127 eV/atom

***

It is found that the raw total energy values, taken in the order of the records, are -38.71 -27.66 eV for the cell shown.
It is found that the size of the total moment values, taken in the order of the records, are 0.44 0.00 μB per atom.